1.
A geometry-optimized BaCoPt2 structure, computed with PBE-GGA.

Symmetry: I-42d
DFT formation energy: -0.18 eV per atom
Calculated volume: 26.733 A^3/atom

Unit cell a=8.869 b=8.869 c=8.869 alpha=146.30 beta=146.30 gamma=48.40
Sites, in units of the cell vectors:
Ba 0.000 0.000 0.000
Ba 0.750 0.250 0.500
Co 0.250 0.750 0.500
Co 0.500 0.500 0.000
Pt 0.343 0.625 0.218
Pt 0.375 0.593 0.718
Pt 0.407 0.125 0.782
Pt 0.875 0.657 0.282

=====

2.
A geometry-optimized BaCo2Pt structure, computed with PBE-GGA.

Symmetry: Imm2
DFT formation energy: 0.46 eV per atom
Calculated volume: 20.301 A^3/atom

Unit cell a=5.635 b=5.635 c=5.635 alpha=146.75 beta=122.99 gamma=67.62
Sites, in units of the cell vectors:
Ba 0.000 0.000 0.000
Co 0.315 0.815 0.500
Co 0.484 0.484 0.000
Pt 0.696 0.196 0.500

=====

3.
A geometry-optimized BaCoPt2 structure, computed with PBE-GGA.

Symmetry: I-4m2
DFT formation energy: 0.35 eV per atom
Calculated volume: 20.186 A^3/atom

Unit cell a=5.219 b=5.219 c=5.219 alpha=130.30 beta=130.30 gamma=72.92
Sites, in units of the cell vectors:
Ba 0.000 0.000 0.000
Co 0.250 0.750 0.500
Pt 0.500 0.500 0.000
Pt 0.750 0.250 0.500

=====

4.
A geometry-optimized BaCoPt2 structure, computed with PBE-GGA.

Symmetry: Pmm2
DFT formation energy: 0.12 eV per atom
Calculated volume: 20.388 A^3/atom

Unit cell a=2.988 b=3.812 c=7.160 alpha=90.00 beta=90.00 gamma=90.00
Sites, in units of the cell vectors:
Ba 0.000 0.000 0.000
Co 0.500 0.500 0.345
Pt 0.000 0.000 0.474
Pt 0.500 0.500 0.697

=====

5.
A geometry-optimized BaCo2Pt2 structure, computed with PBE-GGA.

Symmetry: I4/mmm
DFT formation energy: 0.00 eV per atom
Calculated volume: 19.179 A^3/atom

Unit cell a=5.974 b=5.974 c=5.974 alpha=137.59 beta=137.59 gamma=61.53
Sites, in units of the cell vectors:
Ba 0.000 0.000 0.000
Co 0.387 0.387 0.000
Co 0.613 0.613 0.000
Pt 0.250 0.750 0.500
Pt 0.750 0.250 0.500

=====

6.
A geometry-optimized BaCoPt structure, computed with PBE-GGA.

Symmetry: I4mm
DFT formation energy: 0.07 eV per atom
Calculated volume: 23.037 A^3/atom

Unit cell a=6.054 b=6.054 c=6.054 alpha=145.99 beta=145.99 gamma=48.86
Sites, in units of the cell vectors:
Ba 0.000 0.000 0.000
Co 0.269 0.269 0.000
Pt 0.718 0.718 0.000

=====

7.
A geometry-optimized BaCoPt structure, computed with PBE-GGA.

Symmetry: F-43m
DFT formation energy: 0.38 eV per atom
Calculated volume: 24.340 A^3/atom

Unit cell a=4.692 b=4.692 c=4.692 alpha=60.00 beta=60.00 gamma=60.00
Sites, in units of the cell vectors:
Ba 0.000 0.000 0.000
Co 0.750 0.750 0.750
Pt 0.500 0.500 0.500

=====

8.
A geometry-optimized BaCoPt4 structure, computed with PBE-GGA.

Symmetry: F-43m
DFT formation energy: -0.06 eV per atom
Calculated volume: 19.337 A^3/atom

Unit cell a=5.475 b=5.475 c=5.475 alpha=60.00 beta=60.00 gamma=60.00
Sites, in units of the cell vectors:
Ba 0.000 0.000 0.000
Co 0.750 0.750 0.750
Pt 0.376 0.376 0.376
Pt 0.376 0.376 0.873
Pt 0.376 0.873 0.376
Pt 0.873 0.376 0.376

=====

9.
A geometry-optimized BaCo2Pt structure, computed with PBE-GGA.

Symmetry: I-4m2
DFT formation energy: 0.70 eV per atom
Calculated volume: 19.240 A^3/atom

Unit cell a=5.151 b=5.151 c=5.151 alpha=130.62 beta=130.62 gamma=72.41
Sites, in units of the cell vectors:
Ba 0.000 0.000 0.000
Co 0.250 0.750 0.500
Co 0.500 0.500 0.000
Pt 0.750 0.250 0.500

=====

10.
A geometry-optimized Ba3CoPt structure, computed with PBE-GGA.

Symmetry: Pm-3m
DFT formation energy: 0.21 eV per atom
Calculated volume: 35.077 A^3/atom

Unit cell a=5.598 b=5.598 c=5.598 alpha=90.00 beta=90.00 gamma=90.00
Sites, in units of the cell vectors:
Ba 0.000 0.000 0.500
Ba 0.000 0.500 0.000
Ba 0.500 0.000 0.000
Co 0.000 0.000 0.000
Pt 0.500 0.500 0.500

=====

11.
A geometry-optimized BaCoPt3 structure, computed with PBE-GGA.

Symmetry: Pm-3m
DFT formation energy: 2.14 eV per atom
Calculated volume: 30.891 A^3/atom

Unit cell a=5.365 b=5.365 c=5.365 alpha=90.00 beta=90.00 gamma=90.00
Sites, in units of the cell vectors:
Ba 0.000 0.000 0.000
Co 0.500 0.500 0.500
Pt 0.000 0.000 0.500
Pt 0.000 0.500 0.000
Pt 0.500 0.000 0.000

=====

12.
A geometry-optimized BaCoPt2 structure, computed with PBE-GGA.

Symmetry: C2/m
DFT formation energy: -0.35 eV per atom
Calculated volume: 23.951 A^3/atom

Unit cell a=4.451 b=4.451 c=6.144 alpha=111.16 beta=111.16 gamma=59.98
Sites, in units of the cell vectors:
Ba 0.000 0.000 0.000
Co 0.500 0.500 0.500
Pt 0.187 0.187 0.560
Pt 0.813 0.813 0.440

=====

| no. | total magnetic moment (μB per cell) | N(E_F) (states/eV/atom) | final energy (eV/cell) |
| --- | --- | --- | --- |
| 1 | 3.4 | 0.795 | -43.6 |
| 2 | 3.7 | 0.805 | -20.3 |
| 3 | 2.2 | 1.712 | -19.7 |
| 4 | 2.0 | 1.111 | -20.6 |
| 5 | 4.0 | 1.456 | -28.2 |
| 6 | 1.8 | 1.426 | -14.9 |
| 7 | 1.8 | 2.307 | -13.9 |
| 8 | 2.2 | 1.450 | -33.5 |
| 9 | 3.4 | 1.738 | -19.4 |
| 10 | 0.0 | 1.088 | -17.8 |
| 11 | 2.5 | 2.159 | -16.5 |
| 12 | 1.9 | 1.355 | -22.5 |